Computed, not measured: an optimized crystal structure of CsZnP2Se at the GGA-PBE level of DFT.

For the total energy, the calculation gives -3.65 eV per atom. The energy relative to the elements, uncorrected is -359 meV per atom. Its crystal system is monoclinic. The spin magnetization comes out at 0.000 μB per formula unit.

It has space group Cm (No. 8), with a = 9.2212 Å, b = 4.5028 Å, c = 7.4487 Å, α = 90.00°, β = 107.19° and γ = 90.00°. Symmetry generates all atoms from Cs at (0.0000, 0.0000, 0.0000), Zn at (0.1129, 0.5000, 0.5771), P at (0.2206, 0.0000, 0.6833), P at (0.3356, 0.0000, 0.4693) and Se at (0.2739, 0.5000, 0.3359).